[1]
# Nd2SmDy6Mg

Nd2SmDy6Mg after structural relaxation (GGA-PBE, Alexandria).

```
Nd2SmDy6Mg
1.0
6.572 -0.755 -0.783
1.603 10.339 -3.415
1.602 -3.796 10.207
Nd Sm Dy Mg
4 2 12 2
direct
0.501 0.813 0.649
0.000 0.351 0.187
0.499 0.187 0.351
0.000 0.649 0.813
0.250 0.992 0.008
0.750 0.008 0.992
0.029 0.089 0.794
0.471 0.206 0.911
0.971 0.911 0.206
0.529 0.794 0.089
0.278 0.915 0.436
0.222 0.564 0.085
0.722 0.085 0.564
0.778 0.436 0.915
0.017 0.705 0.527
0.484 0.473 0.295
0.983 0.295 0.473
0.516 0.527 0.705
0.250 0.292 0.708
0.750 0.708 0.292
```

VASP energy: -4.241 eV/atom
Total moment: 0.0 μB per cell
Calculated volume: 32.13 A^3/atom



[2]
# Hg2SbOsPt

Hg2SbOsPt after structural relaxation (GGA-PBE, Alexandria).

```
Hg2SbOsPt
1.0
-0.844 3.071 4.125
-4.691 -1.507 0.162
1.362 -3.897 3.180
Sb Os Hg Pt
1 1 2 1
direct
0.000 0.500 0.000
0.000 0.000 0.000
0.000 0.000 0.500
0.500 0.000 0.000
0.500 0.500 0.500
```

E_form (uncorrected): 1.00 eV/atom
Total moment: 0.0 μB per cell
Calculated volume: 26.78 A^3/atom



[3]
# Ga3Ge5Br12

Ga3Ge5Br12 after structural relaxation (GGA-PBE, Alexandria).

```
Ga3Ge5Br12
1.0
15.328 0.000 0.000
-5.109 14.451 0.000
-5.109 -7.226 12.515
Ga Ge Br
12 20 48
direct
0.750 0.375 0.125
0.875 0.750 0.125
0.375 0.750 0.625
0.250 0.125 0.375
0.875 0.125 0.250
0.375 0.625 0.250
0.625 0.375 0.750
0.125 0.875 0.750
0.750 0.875 0.625
0.625 0.250 0.375
0.125 0.250 0.875
0.250 0.625 0.875
0.125 0.375 0.250
0.000 0.500 0.000
0.000 0.000 0.000
0.375 0.250 0.125
0.500 0.000 0.500
0.500 0.500 0.000
0.125 0.750 0.375
0.750 0.125 0.875
0.750 0.625 0.375
0.375 0.125 0.750
0.625 0.875 0.250
0.500 0.500 0.500
0.500 0.000 0.000
0.000 0.000 0.500
0.250 0.375 0.625
0.250 0.875 0.125
0.000 0.500 0.500
0.875 0.250 0.625
0.625 0.750 0.875
0.875 0.625 0.750
0.707 0.119 0.032
0.325 0.532 0.412
0.968 0.381 0.293
0.532 0.207 0.119
0.588 0.707 0.675
0.968 0.588 0.175
0.325 0.793 0.412
0.088 0.912 0.119
0.588 0.968 0.675
0.707 0.588 0.175
0.793 0.468 0.381
0.825 0.912 0.032
0.119 0.707 0.532
0.381 0.412 0.088
0.088 0.912 0.381
0.412 0.119 0.588
0.088 0.175 0.207
0.468 0.675 0.088
0.825 0.912 0.293
0.119 0.412 0.088
0.381 0.968 0.793
0.588 0.619 0.412
0.912 0.825 0.532
0.793 0.325 0.912
0.412 0.381 0.588
0.088 0.175 0.468
0.207 0.675 0.088
0.175 0.088 0.707
0.619 0.032 0.207
0.881 0.588 0.912
0.532 0.325 0.912
0.588 0.881 0.412
0.912 0.825 0.793
0.912 0.088 0.619
0.881 0.293 0.468
0.175 0.088 0.968
0.619 0.588 0.912
0.412 0.032 0.325
0.293 0.412 0.825
0.207 0.532 0.619
0.912 0.088 0.881
0.675 0.207 0.588
0.468 0.793 0.881
0.032 0.412 0.825
0.412 0.293 0.325
0.032 0.619 0.707
0.675 0.468 0.588
0.293 0.881 0.968
```

E_form (uncorrected): -0.39 eV/atom
Total moment: 0.0 μB per cell
Calculated volume: 34.65 A^3/atom



[4]
# Sm8Er6Pu

Sm8Er6Pu after structural relaxation (GGA-PBE, Alexandria).

```
Sm8Er6Pu
1.0
5.823 0.000 0.000
0.000 8.512 -4.914
0.000 0.000 9.829
Sm Er Pu
8 6 1
direct
0.760 0.051 0.266
0.760 0.734 0.785
0.760 0.215 0.949
0.240 0.949 0.734
0.240 0.266 0.215
0.240 0.785 0.051
0.764 0.333 0.667
0.236 0.667 0.333
0.748 0.618 0.094
0.748 0.906 0.524
0.748 0.476 0.382
0.252 0.382 0.906
0.252 0.094 0.476
0.252 0.524 0.618
0.500 0.000 0.000
```

VASP energy: -5.166 eV/atom
Total moment: 4.3 μB per cell
Calculated volume: 32.48 A^3/atom